(1)
This record from Alexandria describes a relaxed structure of TiHgGe2I. The functional is PBE-GGA.

- Magnetization: 0.00 μB/f.u.
- Formation energy from raw total energies: 0.228 eV per atom
- Total energy: -17.84 eV per cell
- Relative energy among the computed polymorphs: 0.0 meV per atom
- D(E_F): 3.4 states/eV/cell

abc: 5.0945 5.0945 5.3950
angles: 90.00 90.00 90.00
With the nearest neighbours (Å) after each atom.
Sites, in units of the cell vectors:
Ti (0.0000, 0.0000, 0.0000)  4 Ge 2.55, 2 I 2.70
Hg (0.5000, 0.5000, 0.5000)  4 I 3.60, 8 Ge 3.71
Ge (0.0000, 0.5000, 0.0000)  2 Ti 2.55
Ge (0.5000, 0.0000, 0.0000)  2 Ti 2.55
I (0.0000, 0.0000, 0.5000)  2 Ti 2.70



(2)
This record from Alexandria describes a relaxed structure of TiHgGe2I. The functional is PBE-GGA.

- Magnetization: 0.00 μB/f.u.
- Formation energy from raw total energies: 1.453 eV per atom
- Total energy: -11.72 eV per cell
- Relative energy among the computed polymorphs: 1224.3 meV per atom
- D(E_F): 10.9 states/eV/cell

abc: 5.4124 5.4124 5.5885
angles: 90.00 90.00 90.00
With the nearest neighbours (Å) after each atom.
Sites, in units of the cell vectors:
Ti (0.0000, 0.0000, 0.0000)  4 Hg 3.83, 8 Ge 3.89
Hg (0.5000, 0.5000, 0.0000)  2 I 2.79
Ge (0.0000, 0.5000, 0.5000)  2 I 2.71
Ge (0.5000, 0.0000, 0.5000)  2 I 2.71
I (0.5000, 0.5000, 0.5000)  4 Ge 2.71, 2 Hg 2.79



(3)
This record from Alexandria describes a relaxed structure of Tl2HgGe3I8. The functional is PBE-GGA.

- Magnetization: 0.00 μB/f.u.
- Formation energy from raw total energies: -0.344 eV per atom
- Total energy: -36.10 eV per cell
- D(E_F): 0.0 states/eV/cell

abc: 10.7209 10.7209 10.7209
angles: 48.59 48.59 48.59
With the nearest neighbours (Å) after each atom.
Sites, in units of the cell vectors:
Tl (0.0000, 0.0000, 0.0000)  3 I 3.29
Tl (0.3437, 0.3437, 0.3437)  3 I 3.35
Hg (0.7168, 0.7168, 0.7168)  4 I 3.58-3.66
Ge (0.3694, 0.3694, 0.8467)  6 I 2.91-3.22
Ge (0.3694, 0.8467, 0.3694)  6 I 2.91-3.22
Ge (0.8467, 0.3694, 0.3694)  6 I 2.91-3.22
I (0.1021, 0.1021, 0.5864)  2 Ge 3.22, 2 Tl 3.29-3.35
I (0.1021, 0.5864, 0.1021)  2 Ge 3.22, 2 Tl 3.29-3.35
I (0.1373, 0.1373, 0.1373)  3 Ge 3.13
I (0.1535, 0.6316, 0.6316)  2 Ge 2.91
I (0.5864, 0.1021, 0.1021)  2 Ge 3.22, 2 Tl 3.29-3.35
I (0.5903, 0.5903, 0.5903)  3 Ge 3.00
I (0.6316, 0.1535, 0.6316)  2 Ge 2.91
I (0.6316, 0.6316, 0.1535)  2 Ge 2.91



(4)
This record from Alexandria describes a relaxed structure of VHgGeI6. The functional is PBE-GGA.

- Magnetization: 0.98 μB/f.u.
- Formation energy from raw total energies: -0.299 eV per atom
- Total energy: -26.03 eV per cell
- D(E_F): 6.9 states/eV/cell

abc: 7.2458 7.2458 9.2008
angles: 90.00 90.00 120.00
With the nearest neighbours (Å) after each atom.
Sites, in units of the cell vectors:
V (0.0000, 0.0000, 0.0000)  6 I 2.74
Hg (0.6667, 0.3333, 0.5000)  6 I 3.97
Ge (0.3333, 0.6667, 0.0000)  6 I 2.92
I (0.0140, 0.3138, 0.1735)  1 V 2.74, 1 Ge 2.92
I (0.0140, 0.7002, 0.8265)  1 V 2.74, 1 Ge 2.92
I (0.2998, 0.3138, 0.8265)  1 V 2.74, 1 Ge 2.92
I (0.2998, 0.9860, 0.1735)  1 V 2.74, 1 Ge 2.92
I (0.6862, 0.7002, 0.1735)  1 V 2.74, 1 Ge 2.92
I (0.6862, 0.9860, 0.8265)  1 V 2.74, 1 Ge 2.92



(5)
This record from Alexandria describes a relaxed structure of In2Hg2Ge. The functional is PBE-GGA.

- Magnetization: 0.00 μB/f.u.
- Total energy: -19.61 eV per cell
- Relative energy among the computed polymorphs: 11.6 meV per atom
- D(E_F): 5.2 states/eV/cell

abc: 7.7832 7.7832 4.2677
angles: 90.00 90.00 90.00
With the nearest neighbours (Å) after each atom.
Sites, in units of the cell vectors:
In (0.1605, 0.3395, 0.0000)  6 Hg 3.02-3.20
In (0.3395, 0.8395, 0.0000)  6 Hg 3.02-3.20
In (0.6605, 0.1605, 0.0000)  6 Hg 3.02-3.20
In (0.8395, 0.6605, 0.0000)  6 Hg 3.02-3.20
Hg (0.1457, 0.6457, 0.5000)  2 Ge 2.98, 6 In 3.02-3.20, 1 Hg 3.21
Hg (0.3543, 0.1457, 0.5000)  2 Ge 2.98, 6 In 3.02-3.20, 1 Hg 3.21
Hg (0.6457, 0.8543, 0.5000)  2 Ge 2.98, 6 In 3.02-3.20, 1 Hg 3.21
Hg (0.8543, 0.3543, 0.5000)  2 Ge 2.98, 6 In 3.02-3.20, 1 Hg 3.21
Ge (0.0000, 0.0000, 0.5000)  4 Hg 2.98
Ge (0.5000, 0.5000, 0.5000)  4 Hg 2.98



(6)
This record from Alexandria describes a relaxed structure of InHg2Ge2. The functional is PBE-GGA.

- Magnetization: 0.00 μB/f.u.
- Total energy: -22.93 eV per cell
- Relative energy among the computed polymorphs: 12.6 meV per atom
- D(E_F): 2.7 states/eV/cell

abc: 4.6833 4.6833 11.5512
angles: 90.00 90.00 90.00
With the nearest neighbours (Å) after each atom.
Sites, in units of the cell vectors:
In (0.0000, 0.0000, 0.0000)  8 Ge 3.54, 8 Hg 3.72
In (0.5000, 0.5000, 0.5000)  8 Ge 3.54, 8 Hg 3.72
Hg (0.0000, 0.5000, 0.2500)  4 Ge 2.86
Hg (0.0000, 0.5000, 0.7500)  4 Ge 2.86
Hg (0.5000, 0.0000, 0.2500)  4 Ge 2.86
Hg (0.5000, 0.0000, 0.7500)  4 Ge 2.86
Ge (0.0000, 0.0000, 0.3920)  1 Ge 2.49
Ge (0.0000, 0.0000, 0.6080)  1 Ge 2.49
Ge (0.5000, 0.5000, 0.1080)  1 Ge 2.49
Ge (0.5000, 0.5000, 0.8920)  1 Ge 2.49



(7)
This record from Alexandria describes a relaxed structure of In2Hg2Ge. The functional is PBE-GGA.

- Magnetization: 0.00 μB/f.u.
- Total energy: -18.34 eV per cell
- Relative energy among the computed polymorphs: 138.8 meV per atom
- D(E_F): 5.0 states/eV/cell

abc: 4.2744 4.2744 14.5655
angles: 90.00 90.00 90.00
With the nearest neighbours (Å) after each atom.
Sites, in units of the cell vectors:
In (0.0000, 0.5000, 0.2500)  4 In 3.02, 4 Hg 3.10
In (0.0000, 0.5000, 0.7500)  4 In 3.02, 4 Hg 3.10
In (0.5000, 0.0000, 0.2500)  4 In 3.02, 4 Hg 3.10
In (0.5000, 0.0000, 0.7500)  4 In 3.02, 4 Hg 3.10
Hg (0.0000, 0.0000, 0.0961)  1 Hg 2.80, 4 In 3.10
Hg (0.0000, 0.0000, 0.9039)  1 Hg 2.80, 4 In 3.10
Hg (0.5000, 0.5000, 0.4039)  1 Hg 2.80, 4 In 3.10
Hg (0.5000, 0.5000, 0.5961)  1 Hg 2.80, 4 In 3.10
Ge (0.0000, 0.0000, 0.5000)  8 Hg 3.33
Ge (0.5000, 0.5000, 0.0000)  8 Hg 3.33



(8)
This record from Alexandria describes a relaxed structure of InHg2Ge. The functional is PBE-GGA.

- Magnetization: 0.00 μB/f.u.
- Total energy: -7.20 eV per cell
- D(E_F): 2.0 states/eV/cell

abc: 4.5762 4.5762 4.5545
angles: 90.00 90.00 90.00
With the nearest neighbours (Å) after each atom.
Sites, in units of the cell vectors:
In (0.0000, 0.0000, 0.0000)  8 Hg 3.23, 4 Ge 3.24
Hg (0.0000, 0.5000, 0.5000)  4 In 3.23, 4 Ge 3.23, 4 Hg 3.24
Hg (0.5000, 0.0000, 0.5000)  4 In 3.23, 4 Ge 3.23, 4 Hg 3.24
Ge (0.5000, 0.5000, 0.0000)  8 Hg 3.23, 4 In 3.24